# PBE AcFePd, relaxed
# - Offset from the most stable computed form: 0.0 meV/atom
# - DFT formation energy: 0.425 eV per formula unit
data_AcFePd
_chemical_formula_sum 'Ac1 Fe1 Pd1'
_symmetry_space_group_name_H-M 'P 1'
_symmetry_Int_Tables_number 1
_cell_length_a 4.819
_cell_length_b 4.819
_cell_length_c 4.819
_cell_angle_alpha 60.00
_cell_angle_beta 60.00
_cell_angle_gamma 60.00
loop_
_symmetry_equiv_pos_as_xyz
'x,y,z'
loop_
_atom_site_label
_atom_site_type_symbol
_atom_site_fract_x
_atom_site_fract_y
_atom_site_fract_z
_atom_site_occupancy
Ac1 Ac 0.000 0.000 0.000 1
Fe1 Fe 0.500 0.500 0.500 1
Pd1 Pd 0.250 0.250 0.250 1